{
  "formula": "Cr2ReRhN",
  "functional": "PBE",
  "state": "optimized geometry",
  "lattice_angstrom": [[-0.456, -1.359, 3.606], [-1.598, -3.237, -1.422], [3.595, -1.694, -0.183]],
  "species": ["Re", "N", "Rh", "Cr", "Cr"],
  "fractional_positions": [[0.000, 0.000, 0.500], [0.000, 0.000, 0.000], [0.500, 0.500, 0.500], [0.000, 0.500, 0.000], [0.500, 0.000, 0.000]],
  "crystal_system": "tetragonal",
  "spacegroup": "P4/mmm, No. 123"
}


{
  "formula": "CrReS2N",
  "functional": "PBE",
  "state": "optimized geometry",
  "lattice_angstrom": [[-0.392, 3.447, 2.328], [-4.724, 0.777, -1.947], [-1.648, -2.275, 3.092]],
  "species": ["Re", "S", "S", "N", "Cr"],
  "fractional_positions": [[0.000, 0.500, 0.000], [0.000, 0.000, 0.500], [0.500, 0.000, 0.000], [0.500, 0.500, 0.500], [0.000, 0.000, 0.000]],
  "crystal_system": "tetragonal",
  "de_polymorph_ev_per_fu": 4.87,
  "spacegroup": "P4/mmm, No. 123"
}


{
  "formula": "CrReS2N",
  "functional": "PBE",
  "state": "optimized geometry",
  "lattice_angstrom": [[-1.513, -3.737, -2.317], [0.712, -2.627, 3.771], [-3.212, 0.645, 1.056]],
  "species": ["Re", "S", "S", "N", "Cr"],
  "fractional_positions": [[0.500, 0.500, 0.500], [0.000, 0.500, 0.000], [0.500, 0.000, 0.000], [0.000, 0.000, 0.500], [0.000, 0.000, 0.000]],
  "crystal_system": "tetragonal",
  "de_polymorph_ev_per_fu": 0.11,
  "spacegroup": "P4/mmm, No. 123"
}


{
  "formula": "CrReS2N",
  "functional": "PBE",
  "state": "optimized geometry",
  "lattice_angstrom": [[4.765, 0.000, 0.000], [0.000, 4.765, 0.000], [0.000, 0.000, 3.710]],
  "species": ["Re", "S", "S", "N", "Cr"],
  "fractional_positions": [[0.000, 0.000, 0.000], [0.000, 0.500, 0.000], [0.500, 0.000, 0.000], [0.000, 0.000, 0.500], [0.500, 0.500, 0.500]],
  "crystal_system": "tetragonal",
  "de_polymorph_ev_per_fu": 0.00,
  "spacegroup": "P4/mmm, No. 123"
}


{
  "formula": "CrReSe2N",
  "functional": "PBE",
  "state": "optimized geometry",
  "lattice_angstrom": [[-2.622, -2.193, 3.690], [1.686, -4.502, -1.478], [2.908, 0.344, 2.271]],
  "species": ["Re", "N", "Se", "Se", "Cr"],
  "fractional_positions": [[0.000, 0.000, 0.000], [0.000, 0.000, 0.500], [0.000, 0.500, 0.000], [0.500, 0.000, 0.000], [0.500, 0.500, 0.500]],
  "crystal_system": "tetragonal",
  "de_polymorph_ev_per_fu": 0.18,
  "spacegroup": "P4/mmm, No. 123"
}


{
  "formula": "CrReSe2N",
  "functional": "PBE",
  "state": "optimized geometry",
  "lattice_angstrom": [[-2.736, -2.593, 3.151], [-2.544, -1.882, -3.758], [2.241, -2.616, -0.207]],
  "species": ["Re", "N", "Se", "Se", "Cr"],
  "fractional_positions": [[0.500, 0.500, 0.500], [0.000, 0.000, 0.500], [0.000, 0.500, 0.000], [0.500, 0.000, 0.000], [0.000, 0.000, 0.000]],
  "crystal_system": "tetragonal",
  "de_polymorph_ev_per_fu": 0.00,
  "spacegroup": "P4/mmm, No. 123"
}


Number 1: ρ 11.3 g/cm3, formation energy without anion corrections -112 meV per atom, D(E_F) 5.4 states/eV per cell. Number 2: ρ 5.8 g/cm3, formation energy without anion corrections 1791 meV per atom, D(E_F) 3.2 states/eV per cell. Number 3: ρ 7.1 g/cm3, formation energy without anion corrections 839 meV per atom, D(E_F) 4.3 states/eV per cell. Number 4: ρ 6.2 g/cm3, formation energy without anion corrections 817 meV per atom, D(E_F) 5.8 states/eV per cell. Number 5: ρ 7.3 g/cm3, formation energy without anion corrections 861 meV per atom, D(E_F) 5.4 states/eV per cell. Number 6: ρ 8.2 g/cm3, formation energy without anion corrections 826 meV per atom, D(E_F) 4.0 states/eV per cell.